No. 1
Computed, not measured: a geometry-optimized HoEr2Te structure at the PBE-GGA level of DFT.

Lattice parameters (Å, degrees): 3.8406 3.8406 9.9460 78.87 78.87 60.00
With the nearest neighbours (Å) after each atom.
Positions (direct):
Ho (0.4998, 0.4998, 0.5007)  6 Er 3.51-3.53, 6 Ho 3.84
Er (0.0730, 0.0730, 0.7811)  3 Te 3.07
Er (0.2606, 0.2606, 0.2181)  3 Te 3.06
Te (0.6666, 0.6666, 0.0001)  6 Er 3.06-3.07

Summary:
energy above the lowest structure with this stoichiometry = 119 meV per atom
D(E_F) = 1.176 states/eV/atom
DFT total energy = -18.9 eV per cell
E_form (uncorrected) = -0.513 eV/atom
total magnetization = 0.00 μB per cell

No. 2
Computed, not measured: a geometry-optimized SrMo2Pt structure at the PBE-GGA level of DFT.

Lattice parameters (Å, degrees): 6.3774 6.3774 5.0163 66.86 66.86 25.27
With the nearest neighbours (Å) after each atom.
Positions (direct):
Mo (0.0385, 0.0385, 0.9614)  2 Pt 2.78, 6 Mo 2.79-3.00
Mo (0.4615, 0.4615, 0.5386)  2 Pt 2.78, 6 Mo 2.79-3.00
Pt (0.7500, 0.7500, 0.7500)  4 Mo 2.78, 2 Pt 2.79, 4 Sr 2.87
Sr (0.2500, 0.2500, 0.2500)  2 Sr 2.79, 4 Pt 2.87

Summary:
energy above the lowest structure with this stoichiometry = 170 meV per atom
D(E_F) = 0.922 states/eV/atom
ΔE_f = 0.38 eV per atom
DFT total energy = -27.9 eV per cell
total magnetization = 0.00 μB per cell